Entry 1:
The following is a DFT calculation (GGA-PBE) of an optimized crystal structure of Dy4ThIn.

Calculated total energy in eV per atom: -4.902
Crystal system: tetragonal
D(E_F) in states/eV/f.u.: 7.4
Energy relative to the lowest polymorph listed for this composition in kJ/mol of formula units: 0
ΔE_f in kcal/mol of atoms: -3.26
Magnetization in μB per cell: 0.000

Cell: 3.5793 3.5793 14.1961 Å, 90.00 90.00 90.00°
Fractional coordinates of all 6 atoms:
Dy1 0.0000 0.0000 0.1467
Dy2 0.0000 0.0000 0.8533
Dy3 0.5000 0.5000 0.3296
Dy4 0.5000 0.5000 0.6704
Th1 0.0000 0.0000 0.5000
In1 0.5000 0.5000 0.0000

Entry 2:
The following is a DFT calculation (GGA-PBE) of an optimized crystal structure of Ho2Er3Au2.

Calculated total energy in eV per atom: -4.710
Crystal system: monoclinic
D(E_F) in states/eV/f.u.: 9.8
ΔE_f in kcal/mol of atoms: -11.76
Magnetization in μB per cell: 0.008

Cell: 6.5646 6.5646 9.0954 Å, 114.72 114.72 32.48°
Fractional coordinates of all 7 atoms:
Ho1 0.1512 0.1512 0.3127
Ho2 0.8488 0.8488 0.6873
Er1 0.3867 0.3867 0.0564
Er2 0.5000 0.5000 0.5000
Er3 0.6133 0.6133 0.9436
Au1 0.1724 0.1724 0.7301
Au2 0.8276 0.8276 0.2699

Entry 3:
The following is a DFT calculation (GGA-PBE) of an optimized crystal structure of YPu2PaS4.

Calculated total energy in eV per atom: -9.431
Crystal system: monoclinic
D(E_F) in states/eV/f.u.: 14.5
Formation energy from raw total energies in eV per formula unit: -14.314
Magnetization in μB per cell: 10.948

Cell: 6.7868 3.9025 6.8106 Å, 90.00 109.25 90.00°
Fractional coordinates of all 8 atoms:
Y1 0.0000 0.0000 0.0000
Pu1 0.5000 0.0000 0.5000
Pu2 0.5000 0.5000 0.0000
Pa1 0.0000 0.5000 0.5000
S1 0.2486 0.5000 0.2493
S2 0.2505 0.0000 0.7513
S3 0.7495 0.0000 0.2487
S4 0.7514 0.5000 0.7507

Entry 4:
The following is a DFT calculation (GGA-PBE) of an optimized crystal structure of SrCaB11H7O22.

Calculated total energy in eV per atom: -7.203
Crystal system: monoclinic
D(E_F) in states/eV/f.u.: 0.0
Magnetization in μB per cell: 0.000

Cell: 6.6910 20.8395 6.7513 Å, 90.00 119.38 90.00°
Fractional coordinates of all 84 atoms:
Sr1 0.2006 0.0000 0.3805
Sr2 0.7994 0.5000 0.6195
Ca1 0.4799 0.6156 0.9147
Ca2 0.5201 0.1156 0.0853
B1 0.0191 0.1528 0.9792
B2 0.0592 0.6347 0.4178
B3 0.1001 0.9968 0.7914
B4 0.1098 0.2557 0.1928
B5 0.1918 0.8468 0.4176
B6 0.1988 0.1528 0.3998
B7 0.2141 0.4903 0.1250
B8 0.2926 0.4703 0.5222
B9 0.3744 0.6303 0.3320
B10 0.3982 0.3696 0.7583
B11 0.4747 0.4749 0.9445
B12 0.5253 0.9749 0.0555
B13 0.6018 0.8696 0.2417
B14 0.6256 0.1303 0.6680
B15 0.7074 0.9703 0.4778
B16 0.7859 0.9903 0.8750
B17 0.8012 0.6528 0.6002
B18 0.8082 0.3468 0.5824
B19 0.8902 0.7557 0.8072
B20 0.8999 0.4968 0.2086
B21 0.9408 0.1347 0.5822
B22 0.9809 0.6528 0.0208
H1 0.0252 0.8570 0.0680
H2 0.1241 0.7599 0.2821
H3 0.1767 0.3480 0.3233
H4 0.3329 0.2774 0.6358
H5 0.3580 0.7451 0.7155
H6 0.3637 0.8772 0.7634
H7 0.4948 0.7578 0.9874
H8 0.5052 0.2578 0.0126
H9 0.6363 0.3772 0.2366
H10 0.6420 0.2451 0.2845
H11 0.6671 0.7774 0.3642
H12 0.8233 0.8480 0.6767
H13 0.8759 0.2599 0.7179
H14 0.9748 0.3570 0.9320
O1 0.0079 0.2235 0.9889
O2 0.0114 0.6315 0.5914
O3 0.0226 0.9921 0.9475
O4 0.0535 0.4939 0.4360
O5 0.0960 0.1370 0.8098
O6 0.0999 0.8806 0.2166
O7 0.1049 0.3219 0.1805
O8 0.1857 0.1246 0.1944
O9 0.1967 0.7811 0.4345
O10 0.2090 0.2240 0.3985
O11 0.2203 0.6283 0.1039
O12 0.2643 0.4952 0.9531
O13 0.2787 0.8877 0.5994
O14 0.2942 0.3991 0.5486
O15 0.2969 0.6339 0.4901
O16 0.3276 0.0064 0.8589
O17 0.3666 0.4853 0.3514
O18 0.3985 0.1266 0.6048
O19 0.4065 0.3036 0.7769
O20 0.4480 0.7248 0.8660
O21 0.4550 0.5014 0.7342
O22 0.4975 0.4046 0.9566
O23 0.5025 0.9046 0.0434
O24 0.5450 0.0014 0.2658
O25 0.5520 0.2248 0.1340
O26 0.5935 0.8036 0.2231
O27 0.6015 0.6266 0.3952
O28 0.6334 0.9853 0.6486
O29 0.6724 0.5064 0.1411
O30 0.7031 0.1339 0.5099
O31 0.7058 0.8991 0.4514
O32 0.7213 0.3877 0.4006
O33 0.7357 0.9952 0.0469
O34 0.7797 0.1283 0.8961
O35 0.7910 0.7240 0.6015
O36 0.8033 0.2811 0.5655
O37 0.8143 0.6246 0.8056
O38 0.8951 0.8219 0.8195
O39 0.9001 0.3806 0.7834
O40 0.9040 0.6370 0.1902
O41 0.9465 0.9939 0.5640
O42 0.9774 0.4921 0.0525
O43 0.9886 0.1315 0.4086
O44 0.9921 0.7235 0.0111

Entry 5:
The following is a DFT calculation (GGA-PBE) of an optimized crystal structure of Sr3Cd2Ge.

Calculated total energy in eV per atom: -2.316
Crystal system: monoclinic
D(E_F) in states/eV/f.u.: 3.1
ΔE_f in kcal/mol of atoms: -9.24
Magnetization in μB per cell: 0.000

Cell: 5.5861 8.0282 8.8819 Å, 90.00 108.29 90.00°
Fractional coordinates of all 12 atoms:
Sr1 0.0000 0.2407 0.0000
Sr2 0.0000 0.7593 0.0000
Sr3 0.3279 0.2308 0.6555
Sr4 0.3279 0.7692 0.6555
Sr5 0.6721 0.2308 0.3445
Sr6 0.6721 0.7692 0.3445
Cd1 0.1648 0.5000 0.3299
Cd2 0.5000 0.0000 0.0000
Cd3 0.5000 0.5000 0.0000
Cd4 0.8352 0.5000 0.6701
Ge1 0.1574 0.0000 0.3158
Ge2 0.8426 0.0000 0.6842

Entry 6:
The following is a DFT calculation (GGA-PBE) of an optimized crystal structure of Er2Al3Zn4Ag.

Calculated total energy in eV per atom: -3.120
Crystal system: tetragonal
D(E_F) in states/eV/f.u.: 6.0
ΔE_f in kcal/mol of atoms: -6.68
Magnetization in μB per cell: 0.000

Cell: 4.0932 4.0932 11.1644 Å, 90.00 90.00 90.00°
Fractional coordinates of all 10 atoms:
Er1 0.0000 0.5000 0.2419
Er2 0.5000 0.0000 0.7581
Al1 0.0000 0.5000 0.8646
Al2 0.5000 0.0000 0.1354
Al3 0.5000 0.5000 0.5000
Zn1 0.0000 0.0000 0.0000
Zn2 0.0000 0.5000 0.6476
Zn3 0.5000 0.0000 0.3524
Zn4 0.5000 0.5000 0.0000
Ag1 0.0000 0.0000 0.5000

Entry 7:
The following is a DFT calculation (GGA-PBE) of an optimized crystal structure of DyZn6Cd2.

Calculated total energy in eV per atom: -1.638
Crystal system: orthorhombic
D(E_F) in states/eV/f.u.: 3.5
ΔE_f in kcal/mol of atoms: -1.72
Magnetization in μB per cell: 0.000

Cell: 7.7675 7.7675 7.7675 Å, 153.92 122.70 63.99°
Fractional coordinates of all 9 atoms:
Dy1 0.0000 0.0000 0.0000
Zn1 0.0026 0.3233 0.6793
Zn2 0.3263 0.5000 0.8263
Zn3 0.3560 0.6767 0.6793
Zn4 0.6440 0.3233 0.3207
Zn5 0.6737 0.5000 0.1737
Zn6 0.9974 0.6767 0.3207
Cd1 0.3610 0.8610 0.5000
Cd2 0.6390 0.1390 0.5000

Entry 8:
The following is a DFT calculation (GGA-PBE) of an optimized crystal structure of YCrAu3.

Calculated total energy in eV per atom: -5.024
Crystal system: cubic
D(E_F) in states/eV/f.u.: 3.6
Energy relative to the lowest polymorph listed for this composition in kJ/mol of formula units: 0
ΔE_f in kcal/mol of atoms: 3.68
Magnetization in μB per cell: 3.537

Cell: 4.9192 4.9192 4.9192 Å, 90.00 90.00 90.00°
Fractional coordinates of all 5 atoms:
Y1 0.0000 0.0000 0.0000
Cr1 0.5000 0.5000 0.5000
Au1 0.0000 0.5000 0.5000
Au2 0.5000 0.0000 0.5000
Au3 0.5000 0.5000 0.0000